1.
Here is a relaxed TaTi3 crystal from Alexandria. Energies are from PBE.

a b c (Å): 2.8307 4.7474 5.2221
angles (deg): 90.00 90.00 90.00
Element x y z (fractional)
Ta 0.0000 0.0000 0.0282
Ti 0.5000 0.5000 0.8057
Ti 0.0000 0.5000 0.3080
Ti 0.5000 0.0000 0.5247

SG	Pmm2 (25)

2.
Here is a relaxed TaTi3 crystal from Alexandria. Energies are from PBE.

a b c (Å): 4.0804 4.0804 5.1062
angles (deg): 113.49 113.49 89.99
Element x y z (fractional)
Ti 0.7500 0.2500 0.5000
Ti 0.5000 0.5000 0.0000
Ti 0.2500 0.7500 0.5000
Ta 0.0000 0.0000 0.0000

SG	I4/mmm (139)

3.
Here is a relaxed Ta5Ti crystal from Alexandria. Energies are from PBE.

a b c (Å): 2.8976 2.8976 15.2545
angles (deg): 90.00 90.00 120.00
Element x y z (fractional)
Ta 0.0000 0.0000 0.3305
Ta 0.6667 0.3333 0.1617
Ta 0.6667 0.3333 0.8383
Ta 0.0000 0.0000 0.6695
Ta 0.6667 0.3333 0.5000
Ti 0.0000 0.0000 0.0000

SG	P-6m2 (187)

4.
Here is a relaxed TaTi5 crystal from Alexandria. Energies are from PBE.

a b c (Å): 2.8214 7.0768 5.6104
angles (deg): 77.14 75.40 78.51
Element x y z (fractional)
Ti 0.9901 0.3629 0.6560
Ti 0.7317 0.6955 0.8409
Ti 0.4807 0.6909 0.3477
Ti 0.7313 0.0383 0.4995
Ti 0.2433 0.3585 0.1549
Ta 0.9894 0.0206 0.0008

SG	Cm (8)

no.,energy (eV per atom),magnetization (μB/atom)
1,-8.82,0.000
2,-8.79,0.000
3,-10.95,0.000
4,-8.51,0.000